CaAlZn2 | Alexandria | GGA-PBEsol | optimized geometry; energy of formation from the pure elements = -195 meV per atom; energy = -0.093 Ha/atom; ρ = 4.1 Mg/m³
1.0
-0.3254 4.2592 -0.3818
-3.5687 1.7413 -1.6201
-3.2915 2.2672 4.0109
Zn Ca Al
2 1 1
Direct
0.2084 0.2084 0.3747
0.7916 0.7916 0.6253
0.0000 0.0000 0.0000
0.5000 0.5000 0.5000

CaZrAlZn2 | Alexandria | GGA-PBEsol | optimized geometry; energy of formation from the pure elements = 1385 meV per atom; energy = -0.085 Ha/atom; ρ = 3.8 Mg/m³
1.0
4.9704 0.0000 0.0000
0.0000 4.9704 0.0000
0.0000 0.0000 5.1307
Zn Ca Zr Al
2 1 1 1
Direct
0.0000 0.5000 0.0000
0.5000 0.0000 0.0000
0.0000 0.0000 0.0000
0.0000 0.0000 0.5000
0.5000 0.5000 0.5000

CaZrAl2 | Alexandria | GGA-PBEsol | optimized geometry; energy of formation from the pure elements = 283 meV per atom; energy = -0.168 Ha/atom; ρ = 3.3 Mg/m³
1.0
6.2145 0.0000 0.0000
3.1073 5.4629 0.0000
3.1073 0.0000 5.4629
Ca Al Zr
2 4 2
Direct
0.2500 0.5000 0.5000
0.5000 0.0000 0.0000
0.1108 0.0142 0.5142
0.6392 0.9858 0.4858
0.3750 0.5142 0.9858
0.8750 0.4858 0.0142
0.7500 0.5000 0.5000
0.0000 0.0000 0.0000

CaZrAl2 | Alexandria | GGA-PBEsol | optimized geometry; energy of formation from the pure elements = -222 meV per atom; energy = -0.186 Ha/atom; ρ = 3.7 Mg/m³
1.0
-2.0541 0.9492 2.2243
0.2752 -4.5826 2.2098
3.8735 1.6234 2.8843
Ca Al Zr
1 2 1
Direct
0.5000 0.5000 0.5000
0.0000 0.0000 0.5000
0.0000 0.5000 0.0000
0.5000 0.0000 0.0000

Ca2ZrAl | Alexandria | GGA-PBEsol | optimized geometry; energy of formation from the pure elements = 230 meV per atom; energy = -0.152 Ha/atom; ρ = 3.2 Mg/m³
1.0
3.3164 0.0000 0.0000
1.6582 2.8721 0.0000
1.6582 0.9574 10.9684
Ca Al Zr
2 1 1
Direct
0.2545 0.2545 0.2365
0.7455 0.7455 0.7635
0.0000 0.0000 0.0000
0.5000 0.5000 0.5000

CaZr2Al | Alexandria | GGA-PBEsol | optimized geometry; energy of formation from the pure elements = -10 meV per atom; energy = -0.225 Ha/atom; ρ = 4.5 Mg/m³
1.0
-2.4137 -2.1876 -0.0652
1.1919 -1.1704 -4.8584
4.0738 -2.1943 4.2269
Ca Al Zr
1 1 2
Direct
0.5000 0.0000 0.0000
0.0000 0.5000 0.0000
0.2802 0.2802 0.5603
0.7198 0.7198 0.4397

CaZr3Al | Alexandria | GGA-PBEsol | optimized geometry; energy of formation from the pure elements = 601 meV per atom; energy = -0.224 Ha/atom; ρ = 4.2 Mg/m³
1.0
-0.5116 -4.2245 -2.8594
5.1001 -0.3639 -0.3748
0.1059 -2.8819 4.2388
Ca Al Zr
1 1 3
Direct
0.5000 0.5000 0.5000
0.0000 0.0000 0.0000
0.0000 0.5000 0.0000
0.0000 0.0000 0.5000
0.5000 0.0000 0.0000

CaZrAl | Alexandria | GGA-PBEsol | optimized geometry; energy of formation from the pure elements = 716 meV per atom; energy = -0.161 Ha/atom; ρ = 3.2 Mg/m³
1.0
4.8608 0.0000 0.0000
2.4304 4.2096 0.0000
2.4304 1.4032 3.9688
Ca Al Zr
1 1 1
Direct
0.5000 0.5000 0.5000
0.0000 0.0000 0.0000
0.2500 0.2500 0.2500

Question: Look up the ρ of the first one.
Answer: 4.1 Mg/m³

Repeat the fifth record exactly.
Ca2ZrAl | Alexandria | GGA-PBEsol | optimized geometry; energy of formation from the pure elements = 230 meV per atom; energy = -0.152 Ha/atom; ρ = 3.2 Mg/m³
1.0
3.3164 0.0000 0.0000
1.6582 2.8721 0.0000
1.6582 0.9574 10.9684
Ca Al Zr
2 1 1
Direct
0.2545 0.2545 0.2365
0.7455 0.7455 0.7635
0.0000 0.0000 0.0000
0.5000 0.5000 0.5000